VASP calculation (PBE) on a geometry-optimized Pr2NbAg structure.

Lattice parameters (Å, degrees): 11.633 11.633 11.633 15.98 15.98 15.98
Fractional positions:
Pr 0.087 0.087 0.087
Pr 0.913 0.913 0.913
Nb 0.000 0.000 0.000
Ag 0.500 0.500 0.500

Volume ... 26.00 Å³ per atom
DOS at the Fermi energy ... 5.480 states/eV per cell
Calculated formation energy ... 0.566 eV per atom
Spin magnetization ... 0.7 μB per formula unit
Calculated density ... 7.71 Mg/m³
Calculated total energy ... -20.216 eV/cell


VASP calculation (PBE) on a geometry-optimized Sr3Mg2Zn4 structure.

Lattice parameters (Å, degrees): 6.628 6.628 9.290 110.39 110.39 41.33
Fractional positions:
Sr 0.000 0.000 0.000
Sr 0.373 0.373 0.301
Sr 0.627 0.627 0.699
Mg 0.324 0.324 0.653
Mg 0.676 0.676 0.347
Zn 0.080 0.080 0.428
Zn 0.268 0.268 0.935
Zn 0.732 0.732 0.065
Zn 0.920 0.920 0.572

Volume ... 27.79 Å³ per atom
DOS at the Fermi energy ... 6.256 states/eV per cell
Calculated formation energy ... -0.167 eV per atom
Spin magnetization ... 0.0 μB per formula unit
Calculated density ... 3.80 Mg/m³
Calculated total energy ... -14.834 eV/cell


VASP calculation (PBE) on a geometry-optimized PS structure.

Lattice parameters (Å, degrees): 3.089 14.538 7.348 90.00 90.00 90.00
Fractional positions:
P 0.250 0.087 0.152
P 0.250 0.413 0.152
P 0.250 0.750 0.694
P 0.750 0.250 0.306
P 0.750 0.587 0.848
P 0.750 0.913 0.848
S 0.250 0.008 0.783
S 0.250 0.250 0.504
S 0.250 0.492 0.783
S 0.750 0.508 0.217
S 0.750 0.750 0.496
S 0.750 0.992 0.217

Volume ... 27.50 Å³ per atom
Formation energy from raw total energies ... 0.151 eV/atom
DOS at the Fermi energy ... 3.125 states/eV per cell
Spin magnetization ... 0.0 μB per formula unit
Calculated density ... 1.90 Mg/m³
Calculated total energy ... -55.409 eV/cell
Energy above the lowest structure with this stoichiometry ... 288.7 meV per atom


VASP calculation (PBE) on a geometry-optimized Co2RuPt structure.

Lattice parameters (Å, degrees): 4.584 4.584 4.584 132.42 132.42 69.56
Fractional positions:
Co 0.000 0.000 0.000
Co 0.750 0.250 0.500
Ru 0.250 0.750 0.500
Pt 0.500 0.500 0.000

Volume ... 12.87 Å³ per atom
DOS at the Fermi energy ... 6.097 states/eV per cell
Calculated formation energy ... 0.070 eV per atom
Spin magnetization ... 3.0 μB per formula unit
Calculated density ... 13.36 Mg/m³
Calculated total energy ... -29.248 eV/cell
Energy above the lowest structure with this stoichiometry ... 4.7 meV per atom


VASP calculation (PBE) on a geometry-optimized Li2ZnGaF8 structure.

Lattice parameters (Å, degrees): 5.684 5.684 5.684 113.22 113.22 102.20
Fractional positions:
Li 0.000 0.000 0.000
Li 0.750 0.250 0.500
Zn 0.250 0.750 0.500
Ga 0.500 0.500 0.000
F 0.150 0.439 0.711
F 0.204 0.006 0.802
F 0.204 0.403 0.198
F 0.561 0.272 0.711
F 0.561 0.850 0.289
F 0.597 0.796 0.802
F 0.728 0.439 0.289
F 0.994 0.796 0.198

Volume ... 11.64 Å³ per atom
Formation energy from raw total energies ... -2.343 eV/atom
DOS at the Fermi energy ... 9.982 states/eV per cell
Spin magnetization ... 0.9 μB per formula unit
Calculated density ... 3.58 Mg/m³
Calculated total energy ... -51.213 eV/cell


VASP calculation (PBE) on a geometry-optimized Tl2CdSnCl6 structure.

Lattice parameters (Å, degrees): 7.629 7.629 7.629 59.60 59.60 59.60
Fractional positions:
Tl 0.000 0.000 0.000
Tl 0.499 0.499 0.499
Cd 0.723 0.723 0.723
Sn 0.224 0.224 0.224
Cl 0.040 0.465 0.885
Cl 0.401 0.947 0.556
Cl 0.465 0.885 0.040
Cl 0.556 0.401 0.947
Cl 0.885 0.040 0.465
Cl 0.947 0.556 0.401

Volume ... 31.11 Å³ per atom
Formation energy from raw total energies ... -1.033 eV/atom
DOS at the Fermi energy ... 0.000 states/eV per cell
Spin magnetization ... 0.0 μB per formula unit
Calculated density ... 4.55 Mg/m³
Calculated total energy ... -31.059 eV/cell


- Among the records above, which one has the lowest calculated total energy?
  PS